1.
# Ca2MnTlCl8 PBE relaxed
# Energy relative to the elements, uncorrected in meV/atom: -1631
data_Ca2MnTlCl8
_chemical_formula_sum 'Ca2 Mn1 Tl1 Cl8'
_cell_length_a 6.267
_cell_length_b 8.462
_cell_length_c 6.644
_cell_angle_alpha 90.00
_cell_angle_beta 93.05
_cell_angle_gamma 90.00
_symmetry_space_group_name_H-M 'P 1 2/m 1'
_symmetry_Int_Tables_number 10
_symmetry_space_group_name_Hall '-P 2y'
loop_
_atom_site_label
_atom_site_type_symbol
_atom_site_fract_x
_atom_site_fract_y
_atom_site_fract_z
Ca1 Ca 0.000 0.239 0.000
Mn1 Mn 0.500 0.000 0.500
Tl1 Tl 0.500 0.500 0.500
Cl1 Cl 0.206 0.500 0.857
Cl2 Cl 0.231 0.000 0.831
Cl3 Cl 0.285 0.189 0.351


2.
# CaMnTlCl6 PBE relaxed
# Energy relative to the elements, uncorrected in meV/atom: -1446
data_CaMnTlCl6
_chemical_formula_sum 'Ca2 Mn2 Tl2 Cl12'
_cell_length_a 6.7998
_cell_length_b 6.7998
_cell_length_c 13.5495
_cell_angle_alpha 90.00
_cell_angle_beta 90.00
_cell_angle_gamma 120.00
_symmetry_space_group_name_H-M 'P -3 1 c'
_symmetry_Int_Tables_number 163
_symmetry_space_group_name_Hall '-P 3 2c'
loop_
_atom_site_label
_atom_site_type_symbol
_atom_site_fract_x
_atom_site_fract_y
_atom_site_fract_z
Ca1 Ca 0.3333 0.6667 0.2500
Mn1 Mn 0.3333 0.6667 0.7500
Tl1 Tl 0.0000 0.0000 0.0000
Cl1 Cl 0.0378 0.3883 0.6457


3.
# CaMn2TlCl8 PBE relaxed
# Energy relative to the elements, uncorrected in meV/atom: -1304
data_CaMn2TlCl8
_chemical_formula_sum 'Ca1 Mn2 Tl1 Cl8'
_cell_length_a 6.6879
_cell_length_b 6.6879
_cell_length_c 9.3037
_cell_angle_alpha 90.00
_cell_angle_beta 90.00
_cell_angle_gamma 120.00
_symmetry_space_group_name_H-M 'P -3'
_symmetry_Int_Tables_number 147
_symmetry_space_group_name_Hall '-P 3'
loop_
_atom_site_label
_atom_site_type_symbol
_atom_site_fract_x
_atom_site_fract_y
_atom_site_fract_z
Ca1 Ca 0.0000 0.0000 0.0000
Mn1 Mn 0.3333 0.6667 0.2463
Tl1 Tl 0.0000 0.0000 0.5000
Cl1 Cl 0.0054 0.3262 0.1830
Cl2 Cl 0.3333 0.6667 0.4841


4.
# CaMnTl2Cl6 PBE relaxed
# Energy relative to the elements, uncorrected in meV/atom: -1451
data_CaMnTl2Cl6
_chemical_formula_sum 'Ca3 Mn3 Tl6 Cl18'
_cell_length_a 7.4121
_cell_length_b 7.4121
_cell_length_c 17.6884
_cell_angle_alpha 90.00
_cell_angle_beta 90.00
_cell_angle_gamma 120.00
_symmetry_space_group_name_H-M 'R -3'
_symmetry_Int_Tables_number 148
_symmetry_space_group_name_Hall '-R 3'
loop_
_atom_site_label
_atom_site_type_symbol
_atom_site_fract_x
_atom_site_fract_y
_atom_site_fract_z
Ca1 Ca 0.0000 0.0000 0.0000
Mn1 Mn 0.0000 0.0000 0.5000
Tl1 Tl 0.0000 0.0000 0.2620
Cl1 Cl 0.0170 0.5723 0.2490